# 1
Density functional theory data (PBE-GGA) for a geometry-optimized TePbCl2 structure.

a b c (Å): 7.8020 7.8020 7.8020
angles (deg): 153.01 144.23 45.37
Sites, in units of the cell vectors:
Pb1 0.4502 0.4502 0.0000
Te1 0.2702 0.7702 0.5000
Cl1 0.0065 0.0065 0.0000
Cl2 0.7732 0.2732 0.5000

ΔE_f (raw): -450 meV/atom
D(E_F): 1.255 states/eV/cell
Magnetization: 0.00 Bohr magnetons per cell
Energy above the lowest structure with this stoichiometry: 0.114 eV/atom


# 2
Density functional theory data (PBE-GGA) for a geometry-optimized TePbCl3 structure.

a b c (Å): 5.4941 5.4941 5.4941
angles (deg): 90.00 90.00 90.00
Sites, in units of the cell vectors:
Pb1 0.5000 0.5000 0.5000
Te1 0.0000 0.0000 0.0000
Cl1 0.0000 0.5000 0.0000
Cl2 0.0000 0.0000 0.5000
Cl3 0.5000 0.0000 0.0000

ΔE_f (raw): -105 meV/atom
D(E_F): 5.652 states/eV/cell
Magnetization: 0.00 Bohr magnetons per cell
Energy above the lowest structure with this stoichiometry: 0.240 eV/atom


# 3
Density functional theory data (PBE-GGA) for a geometry-optimized TePbCl2 structure.

a b c (Å): 5.2390 5.2390 5.2390
angles (deg): 60.00 60.00 60.00
Sites, in units of the cell vectors:
Pb1 0.5000 0.5000 0.5000
Te1 0.2500 0.2500 0.2500
Cl1 0.0000 0.0000 0.0000
Cl2 0.7500 0.7500 0.7500

ΔE_f (raw): -284 meV/atom
D(E_F): 3.495 states/eV/cell
Magnetization: 0.00 Bohr magnetons per cell
Energy above the lowest structure with this stoichiometry: 0.280 eV/atom


# 4
Density functional theory data (PBE-GGA) for a geometry-optimized TePb2Cl structure.

a b c (Å): 5.4704 5.4704 5.4704
angles (deg): 60.00 60.00 60.00
Sites, in units of the cell vectors:
Cl1 0.5000 0.5000 0.5000
Pb1 0.0000 0.0000 0.0000
Pb2 0.2500 0.2500 0.2500
Te1 0.7500 0.7500 0.7500

ΔE_f (raw): -138 meV/atom
D(E_F): 3.219 states/eV/cell
Magnetization: 0.00 Bohr magnetons per cell
Energy above the lowest structure with this stoichiometry: 0.346 eV/atom


# 5
Density functional theory data (PBE-GGA) for a geometry-optimized Te2Pb2Cl structure.

a b c (Å): 8.6227 8.6227 4.3051
angles (deg): 90.00 90.00 90.00
Sites, in units of the cell vectors:
Pb1 0.3125 0.8125 0.0000
Pb2 0.8125 0.6875 0.0000
Pb3 0.6875 0.1875 0.0000
Pb4 0.1875 0.3125 0.0000
Te1 0.1294 0.6294 0.5000
Te2 0.6294 0.8706 0.5000
Te3 0.8706 0.3706 0.5000
Te4 0.3706 0.1294 0.5000
Cl1 0.0000 0.0000 0.0000
Cl2 0.5000 0.5000 0.0000

ΔE_f (raw): -418 meV/atom
D(E_F): 3.172 states/eV/cell
Magnetization: 0.00 Bohr magnetons per cell
Energy above the lowest structure with this stoichiometry: 0.000 eV/atom


# 6
Density functional theory data (PBE-GGA) for a geometry-optimized TePbCl2 structure.

a b c (Å): 6.1613 6.1613 6.4066
angles (deg): 58.72 58.72 33.95
Each line ends with the local moment (μB).
Sites, in units of the cell vectors:
Pb1 0.7500 0.7500 0.7500  0.02
Te1 0.2500 0.2500 0.2500  0.40
Cl1 0.0228 0.0228 0.9769  0.05
Cl2 0.4772 0.4772 0.5231  0.05

ΔE_f (raw): -368 meV/atom
D(E_F): 1.922 states/eV/cell
Magnetization: 0.86 Bohr magnetons per cell
Energy above the lowest structure with this stoichiometry: 0.195 eV/atom


# 7
Density functional theory data (PBE-GGA) for a geometry-optimized TePb2Cl structure.

a b c (Å): 8.3877 8.3877 7.0143
angles (deg): 53.28 53.28 90.00
Sites, in units of the cell vectors:
Pb1 0.6206 0.1250 0.2500
Pb2 0.1294 0.6250 0.2500
Pb3 0.3750 0.3794 0.7500
Pb4 0.8750 0.8706 0.7500
Te1 0.0000 0.0000 0.0000
Te2 0.7500 0.2500 0.5000
Cl1 0.5000 0.5000 0.0000
Cl2 0.2500 0.7500 0.5000

ΔE_f (raw): -406 meV/atom
D(E_F): 5.551 states/eV/cell
Magnetization: 0.00 Bohr magnetons per cell
Energy above the lowest structure with this stoichiometry: 0.078 eV/atom


# 8
Density functional theory data (PBE-GGA) for a geometry-optimized TePbCl2 structure.

a b c (Å): 5.6324 5.6324 3.4256
angles (deg): 90.00 90.00 107.02
Sites, in units of the cell vectors:
Pb1 0.5000 0.0000 0.5000
Te1 0.0000 0.5000 0.5000
Cl1 0.0000 0.0000 0.0000
Cl2 0.5000 0.5000 0.0000

ΔE_f (raw): -221 meV/atom
D(E_F): 2.664 states/eV/cell
Magnetization: 0.00 Bohr magnetons per cell
Energy above the lowest structure with this stoichiometry: 0.343 eV/atom